Li2Pr2DySi2: relaxed, PBE.

SG: R-3m, No. 166
uncorrected formation energy: -390 meV per atom
VASP energy: -4.51 eV/atom
DOS at the Fermi energy: 5.56 states/eV per cell

a = 4.4220 Å, b = 4.4220 Å, c = 9.9836 Å
α = 77.20°, β = 77.20°, γ = 60.00°
Positions (direct):
Pr (0.1222, 0.1222, 0.6335)
Pr (0.8778, 0.8778, 0.3665)
Dy (0.0000, 0.0000, 0.0000)
Li (0.6131, 0.6131, 0.1607)
Li (0.3869, 0.3869, 0.8393)
Si (0.7270, 0.7270, 0.8191)
Si (0.2730, 0.2730, 0.1809)


Li2Pr2DySn2: relaxed, PBE.

SG: R-3m, No. 166
VASP energy: -4.18 eV/atom
formation enthalpy at 0 K: -465.3 meV per atom
DOS at the Fermi energy: 5.04 states/eV per cell

a = 4.8072 Å, b = 4.8072 Å, c = 9.6431 Å
α = 75.57°, β = 75.57°, γ = 60.00°
Positions (direct):
Pr (0.8723, 0.8723, 0.3832)
Pr (0.1277, 0.1277, 0.6168)
Li (0.3934, 0.3934, 0.8198)
Li (0.6066, 0.6066, 0.1802)
Dy (0.0000, 0.0000, 0.0000)
Sn (0.7318, 0.7318, 0.8045)
Sn (0.2682, 0.2682, 0.1955)


Li2PrDy2Sn2: relaxed, PBE.

SG: R-3m, No. 166
VASP energy: -4.16 eV/atom
formation enthalpy at 0 K: -469.4 meV per atom
DOS at the Fermi energy: 4.20 states/eV per cell

a = 4.8258 Å, b = 4.8258 Å, c = 9.4277 Å
α = 75.17°, β = 75.17°, γ = 60.00°
Positions (direct):
Pr (0.0000, 0.0000, 0.0000)
Li (0.4107, 0.4107, 0.7678)
Li (0.5893, 0.5893, 0.2322)
Sn (0.7406, 0.7406, 0.7781)
Sn (0.2594, 0.2594, 0.2219)
Dy (0.1305, 0.1305, 0.6086)
Dy (0.8695, 0.8695, 0.3914)


LiPrDySn: relaxed, PBE.

SG: F-43m, No. 216
VASP energy: -4.25 eV/atom
formation enthalpy at 0 K: -426.8 meV per atom
DOS at the Fermi energy: 2.71 states/eV per cell

a = 5.3244 Å, b = 5.3244 Å, c = 5.3244 Å
α = 60.00°, β = 60.00°, γ = 60.00°
Positions (direct):
Sn (0.2500, 0.2500, 0.2500)
Dy (0.0000, 0.0000, 0.0000)
Li (0.7500, 0.7500, 0.7500)
Pr (0.5000, 0.5000, 0.5000)


LiPrDyTc: relaxed, PBE.

SG: F-43m, No. 216
VASP energy: -5.37 eV/atom
formation enthalpy at 0 K: 41.6 meV per atom
DOS at the Fermi energy: 3.75 states/eV per cell

a = 5.0187 Å, b = 5.0187 Å, c = 5.0187 Å
α = 60.00°, β = 60.00°, γ = 60.00°
Positions (direct):
Pr (0.7500, 0.7500, 0.7500)
Tc (0.5000, 0.5000, 0.5000)
Li (0.0000, 0.0000, 0.0000)
Dy (0.2500, 0.2500, 0.2500)


LiPr3Dy2Te6: relaxed, PBE.

SG: C2/m, No. 12
uncorrected formation energy: -1366 meV per atom
VASP energy: -5.06 eV/atom
DOS at the Fermi energy: 4.52 states/eV per cell

a = 4.4193 Å, b = 8.8885 Å, c = 9.9294 Å
α = 103.53°, β = 102.86°, γ = 90.00°
Positions (direct):
Te (0.9969, 0.7652, 0.9938)
Te (0.6695, 0.5761, 0.3390)
Te (0.3395, 0.9109, 0.6790)
Te (0.6605, 0.0891, 0.3210)
Te (0.3305, 0.4239, 0.6610)
Te (0.0031, 0.2348, 0.0062)
Pr (0.1664, 0.8301, 0.3329)
Pr (0.8336, 0.1699, 0.6671)
Pr (0.5000, 0.5000, 0.0000)
Dy (0.1660, 0.3358, 0.3320)
Dy (0.8340, 0.6642, 0.6680)
Li (0.5000, 0.0000, 0.0000)


Li2PrDyTe4: relaxed, PBE.

SG: P2/m, No. 10
uncorrected formation energy: -1290 meV per atom
VASP energy: -4.51 eV/atom

a = 4.4190 Å, b = 7.6535 Å, c = 7.5242 Å
α = 109.75°, β = 90.00°, γ = 90.00°
Positions (direct):
Te (0.5000, 0.2620, 0.2617)
Te (0.5000, 0.7380, 0.7383)
Te (0.0000, 0.7439, 0.2570)
Te (0.0000, 0.2561, 0.7430)
Pr (0.0000, 0.0000, 0.0000)
Li (0.5000, 0.0000, 0.5000)
Li (0.0000, 0.5000, 0.5000)
Dy (0.5000, 0.5000, 0.0000)


LiPrDy2Te4: relaxed, PBE.

SG: P2/m, No. 10
uncorrected formation energy: -1332 meV per atom
VASP energy: -4.89 eV/atom
DOS at the Fermi energy: 3.04 states/eV per cell

a = 4.3671 Å, b = 7.6319 Å, c = 7.6358 Å
α = 109.12°, β = 90.00°, γ = 90.00°
Positions (direct):
Te (0.5000, 0.2625, 0.2555)
Te (0.5000, 0.7375, 0.7445)
Te (0.0000, 0.2587, 0.7498)
Te (0.0000, 0.7413, 0.2502)
Dy (0.0000, 0.5000, 0.5000)
Dy (0.5000, 0.0000, 0.5000)
Pr (0.0000, 0.0000, 0.0000)
Li (0.5000, 0.5000, 0.0000)


Li4PrDy3Te8: relaxed, PBE.

SG: R-3m, No. 166
uncorrected formation energy: -1290 meV per atom
VASP energy: -4.50 eV/atom

a = 8.7616 Å, b = 8.7011 Å, c = 8.7597 Å
α = 120.28°, β = 120.01°, γ = 90.00°
Positions (direct):
Li (0.0000, 0.0000, 0.5000)
Li (0.5000, 0.0000, 0.0000)
Li (0.5000, 0.0000, 0.5000)
Li (0.0000, 0.0000, 0.0000)
Dy (0.5000, 0.5000, 0.0000)
Dy (0.0000, 0.5000, 0.5000)
Dy (0.5000, 0.5000, 0.5000)
Te (0.2571, 0.7584, 0.0018)
Te (0.7447, 0.7584, 0.0018)
Te (0.2553, 0.2416, 0.9982)
Te (0.7514, 0.7537, 0.5029)
Te (0.7429, 0.2416, 0.9982)
Te (0.2571, 0.7583, 0.5142)
Te (0.7429, 0.2417, 0.4858)
Te (0.2486, 0.2463, 0.4971)
Pr (0.0000, 0.5000, 0.0000)


LiPrDy2Tl4: relaxed, PBE.

SG: R-3m, No. 166
VASP energy: -3.50 eV/atom
formation enthalpy at 0 K: -328.8 meV per atom
DOS at the Fermi energy: 4.56 states/eV per cell

a = 5.2820 Å, b = 5.2820 Å, c = 9.4781 Å
α = 73.82°, β = 73.82°, γ = 60.00°
Positions (direct):
Pr (0.0000, 0.0000, 0.0000)
Dy (0.2449, 0.2449, 0.2654)
Dy (0.7551, 0.7551, 0.7346)
Tl (0.6206, 0.6206, 0.1382)
Tl (0.1282, 0.1282, 0.6153)
Tl (0.3794, 0.3794, 0.8618)
Tl (0.8718, 0.8718, 0.3847)
Li (0.5000, 0.5000, 0.5000)


Li2PrDy2Tl2: relaxed, PBE.

SG: R-3m, No. 166
VASP energy: -3.41 eV/atom
formation enthalpy at 0 K: -189.1 meV per atom
DOS at the Fermi energy: 5.55 states/eV per cell

a = 4.8906 Å, b = 4.8906 Å, c = 9.4330 Å
α = 74.98°, β = 74.98°, γ = 60.00°
Positions (direct):
Li (0.5954, 0.5954, 0.2137)
Li (0.4046, 0.4046, 0.7863)
Tl (0.7414, 0.7414, 0.7759)
Tl (0.2586, 0.2586, 0.2241)
Dy (0.8716, 0.8716, 0.3851)
Dy (0.1284, 0.1284, 0.6149)
Pr (0.0000, 0.0000, 0.0000)


LiPr2DyTl4: relaxed, PBE.

SG: R-3m, No. 166
VASP energy: -3.54 eV/atom
formation enthalpy at 0 K: -346.0 meV per atom
DOS at the Fermi energy: 5.18 states/eV per cell

a = 5.3402 Å, b = 5.3402 Å, c = 9.5631 Å
α = 73.79°, β = 73.79°, γ = 60.00°
Positions (direct):
Tl (0.6252, 0.6252, 0.1243)
Tl (0.8744, 0.8744, 0.3769)
Tl (0.3748, 0.3748, 0.8757)
Tl (0.1256, 0.1256, 0.6231)
Dy (0.0000, 0.0000, 0.0000)
Pr (0.7561, 0.7561, 0.7318)
Pr (0.2439, 0.2439, 0.2682)
Li (0.5000, 0.5000, 0.5000)


> Among the records above, which one has the highest VASP energy?

Li2PrDy2Tl2